Record 1
# Li2AlRu (PBE-GGA, relaxed)
data_Li2AlRu
_chemical_formula_sum 'Li2 Al1 Ru1'
_space_group_name_H-M_alt 'P m m m'
_space_group_IT_number 47
_cell_length_a 3.1109
_cell_length_b 3.9845
_cell_length_c 4.4758
_cell_angle_alpha 90.00
_cell_angle_beta 90.00
_cell_angle_gamma 90.00
loop_
_space_group_symop_operation_xyz
'x,y,z'
'-x,-y,-z'
'-x,-y,z'
'x,y,-z'
'x,-y,-z'
'-x,y,z'
'-x,y,-z'
'x,-y,z'
loop_
_atom_site_label
_atom_site_type_symbol
_atom_site_fract_x
_atom_site_fract_y
_atom_site_fract_z
Li1 Li 0.0000 0.0000 0.0000
Li2 Li 0.5000 0.5000 0.0000
Al1 Al 0.0000 0.5000 0.5000
Ru1 Ru 0.5000 0.0000 0.5000
# Crystal system ... orthorhombic
# Calculated total energy ... -4.42 eV per atom
# DOS(E_F) ... 2.099 states/eV per cell
# Calculated formation energy ... -0.21 eV per atom
# Mass density ... 4.25 g/cm³

***

Record 2
# Li2AlRu (PBE-GGA, relaxed)
data_Li2AlRu
_chemical_formula_sum 'Li2 Al1 Ru1'
_space_group_name_H-M_alt 'P m m 2'
_space_group_IT_number 25
_cell_length_a 2.6735
_cell_length_b 3.9317
_cell_length_c 5.5660
_cell_angle_alpha 90.00
_cell_angle_beta 90.00
_cell_angle_gamma 90.00
loop_
_space_group_symop_operation_xyz
'x,y,z'
'-x,-y,z'
'-x,y,z'
'x,-y,z'
loop_
_atom_site_label
_atom_site_type_symbol
_atom_site_fract_x
_atom_site_fract_y
_atom_site_fract_z
Li1 Li 0.0000 0.0000 0.0000
Li2 Li 0.5000 0.5000 0.2460
Al1 Al 0.5000 0.5000 0.7031
Ru1 Ru 0.0000 0.0000 0.5156
# Crystal system ... orthorhombic
# Calculated total energy ... -4.33 eV per atom
# DOS(E_F) ... 1.997 states/eV per cell
# Calculated formation energy ... -0.12 eV per atom
# Mass density ... 4.03 g/cm³

***

Record 3
# Li2Al2Ru (PBE-GGA, relaxed)
data_Li2Al2Ru
_chemical_formula_sum 'Li4 Al4 Ru2'
_space_group_name_H-M_alt 'P 4/m b m'
_space_group_IT_number 127
_space_group_name_Hall '-P 4 2ab'
_cell_length_a 6.9243
_cell_length_b 6.9243
_cell_length_c 2.9265
_cell_angle_alpha 90.00
_cell_angle_beta 90.00
_cell_angle_gamma 90.00
loop_
_atom_site_label
_atom_site_type_symbol
_atom_site_fract_x
_atom_site_fract_y
_atom_site_fract_z
Li1 Li 0.1544 0.3456 0.0000
Al1 Al 0.1475 0.6475 0.5000
Ru1 Ru 0.0000 0.0000 0.5000
# Crystal system ... tetragonal
# Calculated total energy ... -4.11 eV per atom
# DOS(E_F) ... 3.203 states/eV per cell
# Calculated formation energy ... 0.01 eV per atom
# Mass density ... 4.00 g/cm³

***

Record 4
# Li2AlRu (PBE-GGA, relaxed)
data_Li2AlRu
_chemical_formula_sum 'Li8 Al4 Ru4'
_space_group_name_H-M_alt 'F -4 3 m'
_space_group_IT_number 216
_space_group_name_Hall 'F -4 2 3'
_cell_length_a 5.9933
_cell_length_b 5.9933
_cell_length_c 5.9933
_cell_angle_alpha 90.00
_cell_angle_beta 90.00
_cell_angle_gamma 90.00
loop_
_atom_site_label
_atom_site_type_symbol
_atom_site_fract_x
_atom_site_fract_y
_atom_site_fract_z
Li1 Li 0.0000 0.0000 0.0000
Li2 Li 0.2500 0.2500 0.2500
Al1 Al 0.0000 0.0000 0.5000
Ru1 Ru 0.2500 0.2500 0.7500
# Crystal system ... cubic
# Calculated total energy ... -4.39 eV per atom
# DOS(E_F) ... 7.389 states/eV per cell
# Calculated formation energy ... -0.18 eV per atom
# Mass density ... 4.38 g/cm³

***

Record 5
# LiAl3Ru (PBE-GGA, relaxed)
data_LiAl3Ru
_chemical_formula_sum 'Li1 Al3 Ru1'
_space_group_name_H-M_alt 'P m -3 m'
_space_group_IT_number 221
_space_group_name_Hall '-P 4 2 3'
_cell_length_a 4.7233
_cell_length_b 4.7233
_cell_length_c 4.7233
_cell_angle_alpha 90.00
_cell_angle_beta 90.00
_cell_angle_gamma 90.00
loop_
_atom_site_label
_atom_site_type_symbol
_atom_site_fract_x
_atom_site_fract_y
_atom_site_fract_z
Li1 Li 0.0000 0.0000 0.0000
Al1 Al 0.0000 0.5000 0.5000
Ru1 Ru 0.5000 0.5000 0.5000
# Crystal system ... cubic
# Calculated total energy ... -4.64 eV per atom
# DOS(E_F) ... 0.385 states/eV per cell
# Calculated formation energy ... -0.16 eV per atom
# Mass density ... 2.98 g/cm³

***

Record 6
# Li2AlRu (PBE-GGA, relaxed)
data_Li2AlRu
_chemical_formula_sum 'Li4 Al2 Ru2'
_space_group_name_H-M_alt 'C 1 m 1'
_space_group_IT_number 8
_cell_length_a 8.7220
_cell_length_b 2.6143
_cell_length_c 5.0818
_cell_angle_alpha 90.00
_cell_angle_beta 95.86
_cell_angle_gamma 90.00
loop_
_space_group_symop_operation_xyz
'x,y,z'
'x,-y,z'
'x+1/2,y+1/2,z'
'x+1/2,-y+1/2,z'
loop_
_atom_site_label
_atom_site_type_symbol
_atom_site_fract_x
_atom_site_fract_y
_atom_site_fract_z
Li1 Li 0.0000 0.0000 0.0000
Li2 Li 0.2414 0.0000 0.7701
Al1 Al 0.4926 0.0000 0.4735
Ru1 Ru 0.2495 0.5000 0.2794
# Crystal system ... monoclinic
# Calculated total energy ... -4.29 eV per atom
# DOS(E_F) ... 4.379 states/eV per cell
# Calculated formation energy ... -0.08 eV per atom
# Mass density ... 4.09 g/cm³

***

Record 7
# Li2AlRu2 (PBE-GGA, relaxed)
data_Li2AlRu2
_chemical_formula_sum 'Li4 Al2 Ru4'
_space_group_name_H-M_alt 'P 4/m b m'
_space_group_IT_number 127
_space_group_name_Hall '-P 4 2ab'
_cell_length_a 6.4368
_cell_length_b 6.4368
_cell_length_c 3.5400
_cell_angle_alpha 90.00
_cell_angle_beta 90.00
_cell_angle_gamma 90.00
loop_
_atom_site_label
_atom_site_type_symbol
_atom_site_fract_x
_atom_site_fract_y
_atom_site_fract_z
Li1 Li 0.1683 0.3317 0.0000
Al1 Al 0.0000 0.0000 0.5000
Ru1 Ru 0.1302 0.6302 0.5000
# Crystal system ... tetragonal
# Calculated total energy ... -5.03 eV per atom
# DOS(E_F) ... 10.295 states/eV per cell
# Calculated formation energy ... 0.20 eV per atom
# Mass density ... 5.50 g/cm³

***

Record 8
# Li2AlRu (PBE-GGA, relaxed)
data_Li2AlRu
_chemical_formula_sum 'Li2 Al1 Ru1'
_space_group_name_H-M_alt 'P 4/m m m'
_space_group_IT_number 123
_space_group_name_Hall '-P 4 2'
_cell_length_a 2.6001
_cell_length_b 2.6001
_cell_length_c 8.7075
_cell_angle_alpha 90.00
_cell_angle_beta 90.00
_cell_angle_gamma 90.00
loop_
_atom_site_label
_atom_site_type_symbol
_atom_site_fract_x
_atom_site_fract_y
_atom_site_fract_z
Li1 Li 0.0000 0.0000 0.2392
Al1 Al 0.5000 0.5000 0.5000
Ru1 Ru 0.5000 0.5000 0.0000
# Crystal system ... tetragonal
# Calculated total energy ... -4.10 eV per atom
# DOS(E_F) ... 3.750 states/eV per cell
# Calculated formation energy ... 0.12 eV per atom
# Mass density ... 4.00 g/cm³

***

Record 9
# Li2AlRu (PBE-GGA, relaxed)
data_Li2AlRu
_chemical_formula_sum 'Li2 Al1 Ru1'
_space_group_name_H-M_alt 'P 1 m 1'
_space_group_IT_number 6
_cell_length_a 2.6414
_cell_length_b 4.0882
_cell_length_c 5.4586
_cell_angle_alpha 90.00
_cell_angle_beta 103.30
_cell_angle_gamma 90.00
loop_
_space_group_symop_operation_xyz
'x,y,z'
'x,-y,z'
loop_
_atom_site_label
_atom_site_type_symbol
_atom_site_fract_x
_atom_site_fract_y
_atom_site_fract_z
Li1 Li 0.0000 0.0000 0.0000
Li2 Li 0.2245 0.5000 0.7758
Al1 Al 0.3990 0.0000 0.4706
Ru1 Ru 0.7582 0.5000 0.2834
# Crystal system ... monoclinic
# Calculated total energy ... -4.33 eV per atom
# DOS(E_F) ... 2.257 states/eV per cell
# Calculated formation energy ... -0.12 eV per atom
# Mass density ... 4.11 g/cm³

***

Record 10
# LiAlRu3 (PBE-GGA, relaxed)
data_LiAlRu3
_chemical_formula_sum 'Li1 Al1 Ru3'
_space_group_name_H-M_alt 'P m -3 m'
_space_group_IT_number 221
_space_group_name_Hall '-P 4 2 3'
_cell_length_a 4.1040
_cell_length_b 4.1040
_cell_length_c 4.1040
_cell_angle_alpha 90.00
_cell_angle_beta 90.00
_cell_angle_gamma 90.00
loop_
_atom_site_label
_atom_site_type_symbol
_atom_site_fract_x
_atom_site_fract_y
_atom_site_fract_z
Li1 Li 0.0000 0.0000 0.0000
Al1 Al 0.5000 0.5000 0.5000
Ru1 Ru 0.0000 0.0000 0.5000
# Crystal system ... cubic
# Calculated total energy ... -5.88 eV per atom
# DOS(E_F) ... 5.823 states/eV per cell
# Calculated formation energy ... 0.82 eV per atom
# Mass density ... 8.10 g/cm³

***

Record 11
# Li3AlRu (PBE-GGA, relaxed)
data_Li3AlRu
_chemical_formula_sum 'Li3 Al1 Ru1'
_space_group_name_H-M_alt 'P m -3 m'
_space_group_IT_number 221
_space_group_name_Hall '-P 4 2 3'
_cell_length_a 4.5388
_cell_length_b 4.5388
_cell_length_c 4.5388
_cell_angle_alpha 90.00
_cell_angle_beta 90.00
_cell_angle_gamma 90.00
loop_
_atom_site_label
_atom_site_type_symbol
_atom_site_fract_x
_atom_site_fract_y
_atom_site_fract_z
Li1 Li 0.0000 0.0000 0.5000
Al1 Al 0.5000 0.5000 0.5000
Ru1 Ru 0.0000 0.0000 0.0000
# Crystal system ... cubic
# Calculated total energy ... -2.93 eV per atom
# DOS(E_F) ... 1.801 states/eV per cell
# Calculated formation energy ... 0.82 eV per atom
# Mass density ... 2.64 g/cm³

***

Record 12
# Li2AlRu (PBE-GGA, relaxed)
data_Li2AlRu
_chemical_formula_sum 'Li4 Al2 Ru2'
_space_group_name_H-M_alt 'C 1 2/m 1'
_space_group_IT_number 12
_cell_length_a 9.9909
_cell_length_b 2.9442
_cell_length_c 4.1514
_cell_angle_alpha 90.00
_cell_angle_beta 113.44
_cell_angle_gamma 90.00
loop_
_space_group_symop_operation_xyz
'x,y,z'
'-x,-y,-z'
'-x,y,-z'
'x,-y,z'
'x+1/2,y+1/2,z'
'-x+1/2,-y+1/2,-z'
'-x+1/2,y+1/2,-z'
'x+1/2,-y+1/2,z'
loop_
_atom_site_label
_atom_site_type_symbol
_atom_site_fract_x
_atom_site_fract_y
_atom_site_fract_z
Li1 Li 0.2489 0.0000 0.2476
Al1 Al 0.0000 0.0000 0.5000
Ru1 Ru 0.0000 0.5000 0.0000
# Crystal system ... monoclinic
# Calculated total energy ... -4.41 eV per atom
# DOS(E_F) ... 4.338 states/eV per cell
# Calculated formation energy ... -0.20 eV per atom
# Mass density ... 4.21 g/cm³

***

Record 13
# Li3AlRu (PBE-GGA, relaxed)
data_Li3AlRu
_chemical_formula_sum 'Li3 Al1 Ru1'
_space_group_name_H-M_alt 'P m -3 m'
_space_group_IT_number 221
_space_group_name_Hall '-P 4 2 3'
_cell_length_a 4.5145
_cell_length_b 4.5145
_cell_length_c 4.5145
_cell_angle_alpha 90.00
_cell_angle_beta 90.00
_cell_angle_gamma 90.00
loop_
_atom_site_label
_atom_site_type_symbol
_atom_site_fract_x
_atom_site_fract_y
_atom_site_fract_z
Li1 Li 0.0000 0.0000 0.5000
Al1 Al 0.0000 0.0000 0.0000
Ru1 Ru 0.5000 0.5000 0.5000
# Crystal system ... cubic
# Calculated total energy ... -2.73 eV per atom
# DOS(E_F) ... 3.592 states/eV per cell
# Calculated formation energy ... 1.02 eV per atom
# Mass density ... 2.69 g/cm³

***

Record 14
# Li2AlRu (PBE-GGA, relaxed)
data_Li2AlRu
_chemical_formula_sum 'Li6 Al3 Ru3'
_space_group_name_H-M_alt 'R -3 m'
_space_group_IT_number 166
_space_group_name_Hall '-R 3 2"'
_cell_length_a 2.7053
_cell_length_b 2.7053
_cell_length_c 27.8200
_cell_angle_alpha 90.00
_cell_angle_beta 90.00
_cell_angle_gamma 120.00
loop_
_atom_site_label
_atom_site_type_symbol
_atom_site_fract_x
_atom_site_fract_y
_atom_site_fract_z
Li1 Li 0.0000 0.0000 0.2451
Al1 Al 0.0000 0.0000 0.0000
Ru1 Ru 0.0000 0.0000 0.5000
# Crystal system ... trigonal
# Calculated total energy ... -4.11 eV per atom
# DOS(E_F) ... 8.744 states/eV per cell
# Calculated formation energy ... 0.10 eV per atom
# Mass density ... 4.01 g/cm³